Record 1
DFT (PBE) results for a relaxed structure of SrLa2Se.

Calculated values
**Volume**: 38.3 Å³ per atom
**Raw formation energy**: -733 meV/atom

a = 4.004 Å, b = 6.905 Å, c = 6.907 Å
α = 53.39°, β = 90.00°, γ = 90.00°
Fractional coordinates of all 4 atoms:
Sr: 0.500 0.750 0.750
La: 0.000 0.071 0.072
La: 0.000 0.429 0.428
Se: 0.500 0.250 0.250

=====

Record 2
DFT (PBE) results for a relaxed structure of SrLa2Se.

Calculated values
**Volume**: 32.2 Å³ per atom
**Raw formation energy**: -149 meV/atom

a = 5.670 Å, b = 5.670 Å, c = 5.670 Å
α = 60.00°, β = 60.00°, γ = 60.00°
Fractional coordinates of all 4 atoms:
Se: 0.500 0.500 0.500
La: 0.000 0.000 0.000
La: 0.250 0.250 0.250
Sr: 0.750 0.750 0.750

=====

Record 3
DFT (PBE) results for a relaxed structure of SrLa2Se.

Calculated values
**Volume**: 33.9 Å³ per atom
**Raw formation energy**: -438 meV/atom

a = 7.269 Å, b = 7.269 Å, c = 7.269 Å
α = 143.44°, β = 143.44°, γ = 52.67°
Fractional coordinates of all 4 atoms:
Se: 0.250 0.750 0.500
La: 0.500 0.500 0.000
Sr: 0.750 0.250 0.500
La: 0.000 0.000 0.000

=====

Record 4
DFT (PBE) results for a relaxed structure of SrLa5Se6.

Calculated values
**Volume**: 28.7 Å³ per atom
**Raw formation energy**: -1991 meV/atom

a = 7.503 Å, b = 7.493 Å, c = 7.500 Å
α = 60.03°, β = 80.42°, γ = 70.54°
Fractional coordinates of all 12 atoms:
Se: 0.749 0.418 0.666
La: 0.000 0.333 0.334
Sr: 0.000 0.000 0.000
La: 0.500 0.834 0.332
Se: 0.251 0.582 0.334
Se: 0.751 0.749 0.000
La: 0.500 0.500 0.000
La: 0.500 0.166 0.668
Se: 0.749 0.084 0.334
La: 0.000 0.667 0.666
Se: 0.249 0.251 0.000
Se: 0.251 0.916 0.666

=====

Record 5
DFT (PBE) results for a relaxed structure of SrLa2Se.

Calculated values
**Volume**: 31.4 Å³ per atom
**Raw formation energy**: -377 meV/atom

a = 6.461 Å, b = 6.461 Å, c = 6.461 Å
α = 136.66°, β = 136.66°, γ = 62.96°
Fractional coordinates of all 4 atoms:
Se: 0.500 0.500 0.000
La: 0.000 0.000 0.000
La: 0.250 0.750 0.500
Sr: 0.750 0.250 0.500

=====

Record 6
DFT (PBE) results for a relaxed structure of Sr2LaSe.

Calculated values
**Volume**: 35.0 Å³ per atom
**Raw formation energy**: -177 meV/atom

a = 5.830 Å, b = 5.830 Å, c = 5.830 Å
α = 60.00°, β = 60.00°, γ = 60.00°
Fractional coordinates of all 4 atoms:
La: 0.500 0.500 0.500
Sr: 0.000 0.000 0.000
Se: 0.750 0.750 0.750
Sr: 0.250 0.250 0.250

=====

Record 7
DFT (PBE) results for a relaxed structure of SrLa2Se.

Calculated values
**Volume**: 36.3 Å³ per atom
**Raw formation energy**: -700 meV/atom

a = 3.768 Å, b = 3.768 Å, c = 10.224 Å
α = 90.00°, β = 90.00°, γ = 90.00°
Fractional coordinates of all 4 atoms:
La: 0.000 0.000 0.421
Sr: 0.500 0.500 0.750
La: 0.000 0.000 0.079
Se: 0.500 0.500 0.250

=====

Record 8
DFT (PBE) results for a relaxed structure of SrLa2Se.

Calculated values
**Volume**: 34.3 Å³ per atom
**Raw formation energy**: -749 meV/atom

a = 3.868 Å, b = 5.050 Å, c = 7.464 Å
α = 70.21°, β = 90.00°, γ = 90.00°
Fractional coordinates of all 4 atoms:
Sr: 0.500 0.739 0.649
La: 0.500 0.445 0.234
Se: 0.000 0.267 0.592
La: 0.000 0.049 0.026

=====

Record 9
DFT (PBE) results for a relaxed structure of SrLa2Se.

Calculated values
**Volume**: 39.3 Å³ per atom
**Raw formation energy**: -833 meV/atom

a = 10.836 Å, b = 10.836 Å, c = 10.836 Å
α = 22.05°, β = 22.05°, γ = 22.05°
Fractional coordinates of all 4 atoms:
Se: 0.250 0.250 0.250
Sr: 0.750 0.750 0.750
La: 0.527 0.527 0.527
La: 0.973 0.973 0.973

=====

Record 10
DFT (PBE) results for a relaxed structure of Sr2La2Se.

Calculated values
**Volume**: 38.2 Å³ per atom
**Raw formation energy**: -336 meV/atom

a = 11.218 Å, b = 11.218 Å, c = 11.218 Å
α = 158.40°, β = 158.40°, γ = 30.73°
Fractional coordinates of all 5 atoms:
Sr: 0.416 0.416 0.000
La: 0.750 0.250 0.500
La: 0.250 0.750 0.500
Sr: 0.584 0.584 0.000
Se: 0.000 0.000 0.000

=====

Record 11
DFT (PBE) results for a relaxed structure of Sr4LaSe.

Calculated values
**Volume**: 45.7 Å³ per atom
**Raw formation energy**: 246 meV/atom

a = 7.290 Å, b = 7.290 Å, c = 7.290 Å
α = 60.00°, β = 60.00°, γ = 60.00°
Fractional coordinates of all 6 atoms:
La: 0.750 0.750 0.750
Se: 0.000 0.000 0.000
Sr: 0.376 0.376 0.873
Sr: 0.873 0.376 0.376
Sr: 0.376 0.873 0.376
Sr: 0.376 0.376 0.376

=====

Record 12
DFT (PBE) results for a relaxed structure of Sr2LaSe.

Calculated values
**Volume**: 41.5 Å³ per atom
**Raw formation energy**: -734 meV/atom

a = 4.108 Å, b = 7.273 Å, c = 7.277 Å
α = 49.79°, β = 90.00°, γ = 90.00°
Fractional coordinates of all 4 atoms:
La: 0.500 0.250 0.250
Sr: 0.000 0.920 0.920
Se: 0.500 0.750 0.750
Sr: 0.000 0.580 0.580